# 1
Material: BaBe3Ga
Method: DFT, PBEsol
State: optimized geometry

abc: 4.509 4.509 4.509
angles: 90.00 90.00 90.00
Atoms (fractional coordinates):
Be  0.000  0.500  0.000
Be  0.000  0.000  0.500
Be  0.500  0.000  0.000
Ba  0.500  0.500  0.500
Ga  0.000  0.000  0.000

## Properties
Formation energy   2.847 eV per formula unit
Crystal system   cubic
Electronic total energy   -14.6 eV per cell


# 2
Material: BaBeGaMo2
Method: DFT, PBEsol
State: optimized geometry

abc: 4.243 4.575 4.575
angles: 90.00 90.00 90.00
Atoms (fractional coordinates):
Mo  0.000  0.500  0.000
Mo  0.000  0.000  0.500
Ga  0.500  0.000  0.000
Ba  0.500  0.500  0.500
Be  0.000  0.000  0.000

## Properties
Formation energy   4.663 eV per formula unit
Crystal system   tetragonal
Electronic total energy   -28.4 eV per cell


# 3
Material: Ba2BeGaS
Method: DFT, PBEsol
State: optimized geometry

abc: 3.815 6.077 6.077
angles: 90.00 90.00 90.00
Atoms (fractional coordinates):
Ba  0.000  0.500  0.000
Ba  0.000  0.000  0.500
S  0.500  0.000  0.000
Ga  0.500  0.500  0.500
Be  0.000  0.000  0.000

## Properties
Energy relative to the elements, uncorrected   -0.20 eV per atom
Crystal system   tetragonal
Electronic total energy   -17.0 eV per cell


# 4
Material: Ba2BeReGe
Method: DFT, PBEsol
State: optimized geometry

abc: 4.357 5.749 5.749
angles: 90.00 90.00 90.00
Atoms (fractional coordinates):
Be  0.500  0.000  0.000
Ge  0.500  0.500  0.500
Re  0.000  0.000  0.000
Ba  0.000  0.000  0.500
Ba  0.000  0.500  0.000

## Properties
Formation energy   4.353 eV per formula unit
Crystal system   tetragonal
Electronic total energy   -22.2 eV per cell


# 5
Material: BaBeGe2Ru
Method: DFT, PBEsol
State: optimized geometry

abc: 4.531 4.595 4.595
angles: 90.00 90.00 90.00
Atoms (fractional coordinates):
Ge  0.000  0.500  0.000
Ge  0.000  0.000  0.500
Ru  0.500  0.000  0.000
Ba  0.500  0.500  0.500
Be  0.000  0.000  0.000

## Properties
Formation energy   1.673 eV per formula unit
Crystal system   tetragonal
Electronic total energy   -24.5 eV per cell


# 6
Material: BaBeH2
Method: DFT, PBEsol
State: optimized geometry

abc: 4.429 4.429 4.429
angles: 60.00 60.00 60.00
Atoms (fractional coordinates):
H  0.250  0.250  0.250
H  0.750  0.750  0.750
Be  0.000  0.000  0.000
Ba  0.500  0.500  0.500

## Properties
Crystal system   cubic
Electronic total energy   -11.5 eV per cell


- Among the records above, which one has the highest electronic total energy?
  BaBeH2


- Which formula does entry 5 have?
  BaBeGe2Ru


- Which value of electronic total energy does entry 2 give?
  -28.4 eV per cell